# TaCdSb2 | Alexandria via LeMat-Bulk | PBE | relaxed
data_TaCdSb2
_chemical_formula_sum 'Ta2 Cd2 Sb4'
_cell_length_a 3.5680
_cell_length_b 3.9749
_cell_length_c 14.1891
_cell_angle_alpha 90.00
_cell_angle_beta 90.00
_cell_angle_gamma 90.00
_space_group_name_H-M_alt 'I m m 2'
_space_group_IT_number 44
loop_
_space_group_symop_operation_xyz
'x,y,z'
'-x,-y,z'
'-x,y,z'
'x,-y,z'
'x+1/2,y+1/2,z+1/2'
'-x+1/2,-y+1/2,z+1/2'
'-x+1/2,y+1/2,z+1/2'
'x+1/2,-y+1/2,z+1/2'
loop_
_atom_site_label
_atom_site_fract_x
_atom_site_fract_y
_atom_site_fract_z
Ta1 0.0000 0.0000 0.0000
Cd1 0.0000 0.5000 0.7393
Sb1 0.0000 0.0000 0.5703
Sb2 0.0000 0.5000 0.3482
# **Total DFT energy (no corrections)**: -0.18367 Ha/atom
# **Energy above the most stable polymorph in this dataset**: 135 meV per atom
# **ρ**: 8.86 g/cm³
# **E_form (uncorrected)**: 24.64 kJ/mol of atoms



# Ta2CdSb | Alexandria via LeMat-Bulk | PBE | relaxed
data_Ta2CdSb
_chemical_formula_sum 'Ta4 Cd2 Sb2'
_cell_length_a 5.9902
_cell_length_b 9.2816
_cell_length_c 3.0029
_cell_angle_alpha 90.00
_cell_angle_beta 108.32
_cell_angle_gamma 90.00
_space_group_name_H-M_alt 'C 1 2/m 1'
_space_group_IT_number 12
loop_
_space_group_symop_operation_xyz
'x,y,z'
'-x,-y,-z'
'-x,y,-z'
'x,-y,z'
'x+1/2,y+1/2,z'
'-x+1/2,-y+1/2,-z'
'-x+1/2,y+1/2,-z'
'x+1/2,-y+1/2,z'
loop_
_atom_site_label
_atom_site_fract_x
_atom_site_fract_y
_atom_site_fract_z
Ta1 0.2500 0.2500 0.0000
Cd1 0.0000 0.0000 0.5000
Sb1 0.0000 0.5000 0.5000
# **Total DFT energy (no corrections)**: -0.25109 Ha/atom
# **Energy above the most stable polymorph in this dataset**: 194 meV per atom
# **ρ**: 12.49 g/cm³
# **E_form (uncorrected)**: 34.06 kJ/mol of atoms



# Ta2CdSb | Alexandria via LeMat-Bulk | PBE | relaxed
data_Ta2CdSb
_chemical_formula_sum 'Ta4 Cd2 Sb2'
_cell_length_a 3.5535
_cell_length_b 4.8604
_cell_length_c 9.2530
_cell_angle_alpha 90.00
_cell_angle_beta 90.00
_cell_angle_gamma 90.00
_space_group_name_H-M_alt 'C m m m'
_space_group_IT_number 65
_space_group_name_Hall '-C 2 2'
loop_
_atom_site_label
_atom_site_fract_x
_atom_site_fract_y
_atom_site_fract_z
Ta1 0.0000 0.0000 0.2417
Cd1 0.0000 0.5000 0.5000
Sb1 0.0000 0.5000 0.0000
# **Total DFT energy (no corrections)**: -0.24933 Ha/atom
# **Energy above the most stable polymorph in this dataset**: 242 meV per atom
# **ρ**: 12.39 g/cm³
# **E_form (uncorrected)**: 38.69 kJ/mol of atoms



# Ta2CdSb | Alexandria via LeMat-Bulk | PBE | relaxed
data_Ta2CdSb
_chemical_formula_sum 'Ta2 Cd1 Sb1'
_cell_length_a 5.1118
_cell_length_b 5.1118
_cell_length_c 2.9908
_cell_angle_alpha 90.00
_cell_angle_beta 90.00
_cell_angle_gamma 90.00
_space_group_name_H-M_alt 'P 4/m m m'
_space_group_IT_number 123
_space_group_name_Hall '-P 4 2'
loop_
_atom_site_label
_atom_site_fract_x
_atom_site_fract_y
_atom_site_fract_z
Ta1 0.0000 0.5000 0.0000
Cd1 0.0000 0.0000 0.5000
Sb1 0.5000 0.5000 0.5000
# **Total DFT energy (no corrections)**: -0.24766 Ha/atom
# **Energy above the most stable polymorph in this dataset**: 287 meV per atom
# **ρ**: 12.67 g/cm³
# **E_form (uncorrected)**: 43.08 kJ/mol of atoms



# TaCdSb | Alexandria via LeMat-Bulk | PBE | relaxed
data_TaCdSb
_chemical_formula_sum 'Ta1 Cd1 Sb1'
_cell_length_a 4.9630
_cell_length_b 4.9630
_cell_length_c 3.0502
_cell_angle_alpha 90.00
_cell_angle_beta 90.00
_cell_angle_gamma 120.00
_space_group_name_H-M_alt 'P -6 m 2'
_space_group_IT_number 187
_space_group_name_Hall 'P -6 2'
loop_
_atom_site_label
_atom_site_fract_x
_atom_site_fract_y
_atom_site_fract_z
Ta1 0.0000 0.0000 0.0000
Cd1 0.3333 0.6667 0.5000
Sb1 0.6667 0.3333 0.0000
# **Total DFT energy (no corrections)**: -0.18968 Ha/atom
# **Energy above the most stable polymorph in this dataset**: 211 meV per atom
# **ρ**: 10.59 g/cm³
# **E_form (uncorrected)**: 45.21 kJ/mol of atoms



# Ta2CdSb | Alexandria via LeMat-Bulk | PBE | relaxed
data_Ta2CdSb
_chemical_formula_sum 'Ta2 Cd1 Sb1'
_cell_length_a 3.3170
_cell_length_b 3.3170
_cell_length_c 7.1943
_cell_angle_alpha 90.00
_cell_angle_beta 90.00
_cell_angle_gamma 90.00
_space_group_name_H-M_alt 'P 4/m m m'
_space_group_IT_number 123
_space_group_name_Hall '-P 4 2'
loop_
_atom_site_label
_atom_site_fract_x
_atom_site_fract_y
_atom_site_fract_z
Ta1 0.0000 0.0000 0.2244
Cd1 0.5000 0.5000 0.5000
Sb1 0.5000 0.5000 0.0000
# **Total DFT energy (no corrections)**: -0.25023 Ha/atom
# **Energy above the most stable polymorph in this dataset**: 218 meV per atom
# **ρ**: 12.50 g/cm³
# **E_form (uncorrected)**: 36.34 kJ/mol of atoms



# Ta2CdSb | Alexandria via LeMat-Bulk | PBE | relaxed
data_Ta2CdSb
_chemical_formula_sum 'Ta8 Cd4 Sb4'
_cell_length_a 4.0671
_cell_length_b 4.0671
_cell_length_c 20.7912
_cell_angle_alpha 90.00
_cell_angle_beta 90.00
_cell_angle_gamma 90.00
_space_group_name_H-M_alt 'I -4 2 d'
_space_group_IT_number 122
_space_group_name_Hall 'I -4 2bw'
loop_
_atom_site_label
_atom_site_fract_x
_atom_site_fract_y
_atom_site_fract_z
Ta1 0.2457 0.2500 0.1250
Cd1 0.0000 0.0000 0.5000
Sb1 0.0000 0.0000 0.0000
# **Total DFT energy (no corrections)**: -0.24175 Ha/atom
# **Energy above the most stable polymorph in this dataset**: 448 meV per atom
# **ρ**: 11.51 g/cm³
# **E_form (uncorrected)**: 58.60 kJ/mol of atoms



# Ta2CdSb | Alexandria via LeMat-Bulk | PBE | relaxed
data_Ta2CdSb
_chemical_formula_sum 'Ta6 Cd3 Sb3'
_cell_length_a 3.0754
_cell_length_b 3.0754
_cell_length_c 29.3338
_cell_angle_alpha 90.00
_cell_angle_beta 90.00
_cell_angle_gamma 120.00
_space_group_name_H-M_alt 'R -3 m'
_space_group_IT_number 166
_space_group_name_Hall '-R 3 2"'
loop_
_atom_site_label
_atom_site_fract_x
_atom_site_fract_y
_atom_site_fract_z
Ta1 0.0000 0.0000 0.2481
Cd1 0.0000 0.0000 0.0000
Sb1 0.0000 0.0000 0.5000
# **Total DFT energy (no corrections)**: -0.25002 Ha/atom
# **Energy above the most stable polymorph in this dataset**: 223 meV per atom
# **ρ**: 12.36 g/cm³
# **E_form (uncorrected)**: 36.89 kJ/mol of atoms



# TaCdSb2 | Alexandria via LeMat-Bulk | PBE | relaxed
data_TaCdSb2
_chemical_formula_sum 'Ta2 Cd2 Sb4'
_cell_length_a 10.0863
_cell_length_b 3.1993
_cell_length_c 5.7676
_cell_angle_alpha 90.00
_cell_angle_beta 98.31
_cell_angle_gamma 90.00
_space_group_name_H-M_alt 'C 1 2/m 1'
_space_group_IT_number 12
loop_
_space_group_symop_operation_xyz
'x,y,z'
'-x,-y,-z'
'-x,y,-z'
'x,-y,z'
'x+1/2,y+1/2,z'
'-x+1/2,-y+1/2,-z'
'-x+1/2,y+1/2,-z'
'x+1/2,-y+1/2,z'
loop_
_atom_site_label
_atom_site_fract_x
_atom_site_fract_y
_atom_site_fract_z
Ta1 0.0000 0.0000 0.0000
Cd1 0.0000 0.5000 0.5000
Sb1 0.2268 0.5000 0.2209
# **Total DFT energy (no corrections)**: -0.18226 Ha/atom
# **Energy above the most stable polymorph in this dataset**: 173 meV per atom
# **ρ**: 9.68 g/cm³
# **E_form (uncorrected)**: 28.33 kJ/mol of atoms



# Ta2CdSb | Alexandria via LeMat-Bulk | PBE | relaxed
data_Ta2CdSb
_chemical_formula_sum 'Ta8 Cd4 Sb4'
_cell_length_a 6.7843
_cell_length_b 6.7843
_cell_length_c 6.7843
_cell_angle_alpha 90.00
_cell_angle_beta 90.00
_cell_angle_gamma 90.00
_space_group_name_H-M_alt 'F m -3 m'
_space_group_IT_number 225
_space_group_name_Hall '-F 4 2 3'
loop_
_atom_site_label
_atom_site_fract_x
_atom_site_fract_y
_atom_site_fract_z
Ta1 0.2500 0.2500 0.2500
Cd1 0.0000 0.0000 0.0000
Sb1 0.0000 0.0000 0.5000
# **Total DFT energy (no corrections)**: -0.24565 Ha/atom
# **Energy above the most stable polymorph in this dataset**: 342 meV per atom
# **ρ**: 12.68 g/cm³
# **E_form (uncorrected)**: 48.35 kJ/mol of atoms



# Ta2CdSb | Alexandria via LeMat-Bulk | PBE | relaxed
data_Ta2CdSb
_chemical_formula_sum 'Ta8 Cd4 Sb4'
_cell_length_a 6.8659
_cell_length_b 6.8659
_cell_length_c 6.8659
_cell_angle_alpha 90.00
_cell_angle_beta 90.00
_cell_angle_gamma 90.00
_space_group_name_H-M_alt 'F -4 3 m'
_space_group_IT_number 216
_space_group_name_Hall 'F -4 2 3'
loop_
_atom_site_label
_atom_site_fract_x
_atom_site_fract_y
_atom_site_fract_z
Ta1 0.0000 0.0000 0.0000
Ta2 0.2500 0.2500 0.2500
Cd1 0.0000 0.0000 0.5000
Sb1 0.2500 0.2500 0.7500
# **Total DFT energy (no corrections)**: -0.24168 Ha/atom
# **Energy above the most stable polymorph in this dataset**: 450 meV per atom
# **ρ**: 12.23 g/cm³
# **E_form (uncorrected)**: 58.77 kJ/mol of atoms



# TaCdSb2 | Alexandria via LeMat-Bulk | PBE | relaxed
data_TaCdSb2
_chemical_formula_sum 'Ta2 Cd2 Sb4'
_cell_length_a 6.7595
_cell_length_b 7.1426
_cell_length_c 3.6651
_cell_angle_alpha 90.00
_cell_angle_beta 90.00
_cell_angle_gamma 90.00
_space_group_name_H-M_alt 'C m m m'
_space_group_IT_number 65
_space_group_name_Hall '-C 2 2'
loop_
_atom_site_label
_atom_site_fract_x
_atom_site_fract_y
_atom_site_fract_z
Ta1 0.0000 0.0000 0.0000
Cd1 0.0000 0.5000 0.0000
Sb1 0.2500 0.2500 0.5000
# **Total DFT energy (no corrections)**: -0.17870 Ha/atom
# **Energy above the most stable polymorph in this dataset**: 270 meV per atom
# **ρ**: 10.08 g/cm³
# **E_form (uncorrected)**: 37.68 kJ/mol of atoms



# TaCdSb2 | Alexandria via LeMat-Bulk | PBE | relaxed
data_TaCdSb2
_chemical_formula_sum 'Ta3 Cd3 Sb6'
_cell_length_a 3.2895
_cell_length_b 3.2895
_cell_length_c 33.6837
_cell_angle_alpha 90.00
_cell_angle_beta 90.00
_cell_angle_gamma 120.00
_space_group_name_H-M_alt 'R -3 m'
_space_group_IT_number 166
_space_group_name_Hall '-R 3 2"'
loop_
_atom_site_label
_atom_site_fract_x
_atom_site_fract_y
_atom_site_fract_z
Ta1 0.0000 0.0000 0.0000
Cd1 0.0000 0.0000 0.5000
Sb1 0.0000 0.0000 0.2687
# **Total DFT energy (no corrections)**: -0.18858 Ha/atom
# **Energy above the most stable polymorph in this dataset**: 1 meV per atom
# **ρ**: 8.47 g/cm³
# **E_form (uncorrected)**: 11.73 kJ/mol of atoms



# TaCdSb2 | Alexandria via LeMat-Bulk | PBE | relaxed
data_TaCdSb2
_chemical_formula_sum 'Ta4 Cd4 Sb8'
_cell_length_a 7.1750
_cell_length_b 7.1750
_cell_length_c 7.1750
_cell_angle_alpha 90.00
_cell_angle_beta 90.00
_cell_angle_gamma 90.00
_space_group_name_H-M_alt 'F -4 3 m'
_space_group_IT_number 216
_space_group_name_Hall 'F -4 2 3'
loop_
_atom_site_label
_atom_site_fract_x
_atom_site_fract_y
_atom_site_fract_z
Ta1 0.0000 0.0000 0.0000
Cd1 0.2500 0.2500 0.7500
Sb1 0.0000 0.0000 0.5000
Sb2 0.2500 0.2500 0.2500
# **Total DFT energy (no corrections)**: -0.16793 Ha/atom
# **Energy above the most stable polymorph in this dataset**: 563 meV per atom
# **ρ**: 9.65 g/cm³
# **E_form (uncorrected)**: 65.95 kJ/mol of atoms